Record 1
# Pm2Bi5Rh3, optimized geometry, DFT GGA-PBE
# Spin magnetization, Bohr magnetons per cell: 0.0
# Crystal system: orthorhombic
# Formation energy, eV per atom: -0.4925
data_Pm2Bi5Rh3
_symmetry_space_group_name_H-M 'C m c 21'
_symmetry_Int_Tables_number 36
_symmetry_space_group_name_Hall 'C 2c -2'
_cell_length_a 4.663
_cell_length_b 27.449
_cell_length_c 7.688
_cell_angle_alpha 90.00
_cell_angle_beta 90.00
_cell_angle_gamma 90.00
loop_
_atom_site_label
_atom_site_fract_x
_atom_site_fract_y
_atom_site_fract_z
Pm1 0.000 0.025 0.000
Pm2 0.000 0.331 0.974
Bi1 0.000 0.096 0.627
Bi2 0.000 0.202 0.171
Bi3 0.000 0.214 0.744
Bi4 0.000 0.379 0.496
Bi5 0.000 0.455 0.833
Rh1 0.000 0.103 0.254
Rh2 0.000 0.271 0.445
Rh3 0.000 0.449 0.214

Record 2
# CsCa2Zn2, optimized geometry, DFT GGA-PBE
# Spin magnetization, Bohr magnetons per cell: 0.0
# ΔE to the lowest computed polymorph, eV/atom: 0.094
# Crystal system: tetragonal
# Formation energy, eV per atom: 0.1515
data_CsCa2Zn2
_symmetry_space_group_name_H-M 'I 4/m m m'
_symmetry_Int_Tables_number 139
_symmetry_space_group_name_Hall '-I 4 2'
_cell_length_a 5.791
_cell_length_b 5.791
_cell_length_c 12.291
_cell_angle_alpha 90.00
_cell_angle_beta 90.00
_cell_angle_gamma 90.00
loop_
_atom_site_label
_atom_site_fract_x
_atom_site_fract_y
_atom_site_fract_z
Cs1 0.000 0.000 0.000
Ca1 0.000 0.000 0.335
Zn1 0.000 0.500 0.250

Record 3
# CsBaO2, optimized geometry, DFT GGA-PBE
# Spin magnetization, Bohr magnetons per cell: 3.0
# Uncorrected formation energy, eV per atom: -1.56
# Crystal system: trigonal
data_CsBaO2
_symmetry_space_group_name_H-M 'R 3 m'
_symmetry_Int_Tables_number 160
_symmetry_space_group_name_Hall 'R 3 -2"'
_cell_length_a 4.0183
_cell_length_b 4.0183
_cell_length_c 21.4780
_cell_angle_alpha 90.00
_cell_angle_beta 90.00
_cell_angle_gamma 120.00
loop_
_atom_site_label
_atom_site_fract_x
_atom_site_fract_y
_atom_site_fract_z
Cs1 0.0000 0.0000 0.0000
Ba1 0.0000 0.0000 0.1712
O1 0.0000 0.0000 0.5705
O2 0.0000 0.0000 0.7717

Record 4
# Rb2LiHg2, optimized geometry, DFT GGA-PBE
# Spin magnetization, Bohr magnetons per cell: 0.0
# ΔE to the lowest computed polymorph, eV/atom: 0.000
# Crystal system: monoclinic
# Formation energy, eV per atom: -0.1787
data_Rb2LiHg2
_symmetry_space_group_name_H-M 'C 1 2/m 1'
_symmetry_Int_Tables_number 12
_symmetry_space_group_name_Hall '-C 2y'
_cell_length_a 12.985
_cell_length_b 5.328
_cell_length_c 12.764
_cell_angle_alpha 90.00
_cell_angle_beta 120.04
_cell_angle_gamma 90.00
loop_
_atom_site_label
_atom_site_fract_x
_atom_site_fract_y
_atom_site_fract_z
Rb1 0.090 0.000 0.392
Rb2 0.169 0.500 0.176
Li1 0.158 0.500 0.883
Hg1 0.092 0.000 0.943
Hg2 0.113 0.500 0.626